Record 1
# PrGaPd3 PBE relaxed
data_PrGaPd3
_cell_length_a 6.288
_cell_length_b 6.288
_cell_length_c 11.770
_cell_angle_alpha 90.00
_cell_angle_beta 90.00
_cell_angle_gamma 120.00
_symmetry_space_group_name_H-M 'P 1'
_symmetry_Int_Tables_number 1
loop_
_symmetry_equiv_pos_as_xyz
'x,y,z'
loop_
_atom_site_label
_atom_site_type_symbol
_atom_site_fract_x
_atom_site_fract_y
_atom_site_fract_z
_atom_site_occupancy
Pr1 Pr 0.333 0.667 0.250 1
Pr2 Pr 0.667 0.333 0.750 1
Pr3 Pr 0.000 0.000 0.500 1
Pr4 Pr 0.000 0.000 0.000 1
Ga1 Ga 0.667 0.333 0.140 1
Ga2 Ga 0.333 0.667 0.640 1
Ga3 Ga 0.333 0.667 0.860 1
Ga4 Ga 0.667 0.333 0.360 1
Pd1 Pd 0.140 0.280 0.750 1
Pd2 Pd 0.280 0.140 0.250 1
Pd3 Pd 0.860 0.140 0.250 1
Pd4 Pd 0.140 0.860 0.750 1
Pd5 Pd 0.720 0.860 0.750 1
Pd6 Pd 0.860 0.720 0.250 1
Pd7 Pd 0.500 0.500 0.500 1
Pd8 Pd 0.500 0.000 0.000 1
Pd9 Pd 0.500 0.500 0.000 1
Pd10 Pd 0.500 0.000 0.500 1
Pd11 Pd 0.000 0.500 0.500 1
Pd12 Pd 0.000 0.500 0.000 1
# - raw total energy (Ha/atom) = -0.1951
# - SG = P6_3/mmc, No. 194
# - calculated formation energy (eV per atom) = -0.632

Record 2
# NdPd3Au PBE relaxed
data_NdPd3Au
_cell_length_a 4.584
_cell_length_b 6.198
_cell_length_c 6.917
_cell_angle_alpha 90.00
_cell_angle_beta 90.00
_cell_angle_gamma 90.00
_symmetry_space_group_name_H-M 'P 1'
_symmetry_Int_Tables_number 1
loop_
_symmetry_equiv_pos_as_xyz
'x,y,z'
loop_
_atom_site_label
_atom_site_type_symbol
_atom_site_fract_x
_atom_site_fract_y
_atom_site_fract_z
_atom_site_occupancy
Nd1 Nd 0.500 0.000 0.218 1
Nd2 Nd 0.000 0.500 0.782 1
Pd1 Pd 0.000 0.711 0.246 1
Pd2 Pd 0.500 0.789 0.754 1
Pd3 Pd 0.500 0.211 0.754 1
Pd4 Pd 0.000 0.289 0.246 1
Pd5 Pd 0.000 0.000 0.935 1
Pd6 Pd 0.500 0.500 0.065 1
Au1 Au 0.000 0.000 0.551 1
Au2 Au 0.500 0.500 0.449 1
# - raw total energy (Ha/atom) = -0.1929
# - SG = Pmmn, No. 59
# - calculated formation energy (eV per atom) = -0.524

Record 3
# Ho2GePb PBE relaxed
data_Ho2GePb
_cell_length_a 4.006
_cell_length_b 4.006
_cell_length_c 8.527
_cell_angle_alpha 76.41
_cell_angle_beta 76.41
_cell_angle_gamma 60.00
_symmetry_space_group_name_H-M 'P 1'
_symmetry_Int_Tables_number 1
loop_
_symmetry_equiv_pos_as_xyz
'x,y,z'
loop_
_atom_site_label
_atom_site_type_symbol
_atom_site_fract_x
_atom_site_fract_y
_atom_site_fract_z
_atom_site_occupancy
Ho1 Ho 0.066 0.066 0.802 1
Ho2 Ho 0.267 0.267 0.198 1
Ge1 Ge 0.667 0.667 0.998 1
Pb1 Pb 0.500 0.500 0.501 1
# - raw total energy (Ha/atom) = -0.1800
# - SG = R3m, No. 160
# - calculated formation energy (eV per atom) = -0.528

Record 4
# RuC3 PBE relaxed
data_RuC3
_cell_length_a 2.588
_cell_length_b 7.853
_cell_length_c 3.100
_cell_angle_alpha 90.00
_cell_angle_beta 90.00
_cell_angle_gamma 90.00
_symmetry_space_group_name_H-M 'P 1'
_symmetry_Int_Tables_number 1
loop_
_symmetry_equiv_pos_as_xyz
'x,y,z'
loop_
_atom_site_label
_atom_site_type_symbol
_atom_site_fract_x
_atom_site_fract_y
_atom_site_fract_z
_atom_site_occupancy
Ru1 Ru 0.000 0.500 0.048 1
C1 C 0.000 0.000 0.035 1
C2 C 0.500 0.000 0.035 1
C3 C 0.500 0.500 0.548 1
# - raw total energy (Ha/atom) = -0.2955
# - SG = Pmm2, No. 25
# - calculated formation energy (eV per atom) = 1.196

Record 5
# CuRh2Cl PBE relaxed
data_CuRh2Cl
_cell_length_a 4.473
_cell_length_b 4.473
_cell_length_c 2.873
_cell_angle_alpha 90.00
_cell_angle_beta 90.00
_cell_angle_gamma 95.72
_symmetry_space_group_name_H-M 'P 1'
_symmetry_Int_Tables_number 1
loop_
_symmetry_equiv_pos_as_xyz
'x,y,z'
loop_
_atom_site_label
_atom_site_type_symbol
_atom_site_fract_x
_atom_site_fract_y
_atom_site_fract_z
_atom_site_occupancy
Rh1 Rh 0.000 0.000 0.000 1
Rh2 Rh 0.500 0.500 0.000 1
Cu1 Cu 0.000 0.500 0.500 1
Cl1 Cl 0.500 0.000 0.500 1
# - formation energy (no corrections) (meV per atom) = 525
# - raw total energy (Ha/atom) = -0.1704
# - SG = Cmmm, No. 65

Record 6
# As2OsW PBE relaxed
data_As2OsW
_cell_length_a 4.510
_cell_length_b 4.510
_cell_length_c 4.510
_cell_angle_alpha 60.00
_cell_angle_beta 60.00
_cell_angle_gamma 60.00
_symmetry_space_group_name_H-M 'P 1'
_symmetry_Int_Tables_number 1
loop_
_symmetry_equiv_pos_as_xyz
'x,y,z'
loop_
_atom_site_label
_atom_site_type_symbol
_atom_site_fract_x
_atom_site_fract_y
_atom_site_fract_z
_atom_site_occupancy
As1 As 0.000 0.000 0.000 1
As2 As 0.250 0.250 0.250 1
Os1 Os 0.500 0.500 0.500 1
W1 W 0.750 0.750 0.750 1
# - raw total energy (Ha/atom) = -0.2803
# - SG = F-43m, No. 216
# - calculated formation energy (eV per atom) = 0.743

Q: Which formula does entry 3 have?
A: Ho2GePb

Q: Look up the raw total energy of the second one.
A: -0.1929 Ha/atom

Q: Look up the raw total energy of the sixth one.
A: -0.2803 Ha/atom